(1)
The following is a DFT calculation (PBE-GGA) of a geometry-optimized Mn2WAu structure.

Cell lengths 4.913, 4.913, 4.913 Å; angles 132.20, 137.51, 65.85 degrees
Atoms (fractional coordinates):
Au: 0.751 0.251 0.500
W: 0.510 0.510 0.000
Mn: 0.245 0.745 0.500
Mn: 0.994 0.994 0.000

Properties
symmetry = No. 44
ρ = 13.935 g cm⁻³
crystal system = orthorhombic
relative energy among the computed polymorphs = 90 meV/atom

=====

(2)
The following is a DFT calculation (PBE-GGA) of a geometry-optimized Mn2WAu structure.

Cell lengths 3.512, 4.023, 4.023 Å; angles 90.00, 90.00, 90.00 degrees
Atoms (fractional coordinates):
Au: 0.500 0.000 0.500
Mn: 0.000 0.000 0.000
Mn: 0.000 0.500 0.500
W: 0.500 0.500 0.000

Properties
symmetry = No. 123
ρ = 14.335 g cm⁻³
crystal system = tetragonal
relative energy among the computed polymorphs = 75 meV/atom

=====

(3)
The following is a DFT calculation (PBE-GGA) of a geometry-optimized Mn2WAu structure.

Cell lengths 4.275, 4.275, 4.275 Å; angles 60.00, 60.00, 60.00 degrees
Atoms (fractional coordinates):
Au: 0.500 0.500 0.500
Mn: 0.250 0.250 0.250
Mn: 0.750 0.750 0.750
W: 0.000 0.000 0.000

Properties
symmetry = No. 225
ρ = 14.747 g cm⁻³
crystal system = cubic
relative energy among the computed polymorphs = 251 meV/atom

=====

(4)
The following is a DFT calculation (PBE-GGA) of a geometry-optimized Mn2WAu structure.

Cell lengths 4.898, 4.898, 4.628 Å; angles 79.72, 79.72, 33.53 degrees
Atoms (fractional coordinates):
Mn: 0.000 0.000 0.993
Mn: 0.250 0.250 0.263
W: 0.501 0.501 0.479
Au: 0.749 0.749 0.765

Properties
symmetry = No. 8
ρ = 13.522 g cm⁻³
crystal system = monoclinic
relative energy among the computed polymorphs = 154 meV/atom

=====

(5)
The following is a DFT calculation (PBE-GGA) of a geometry-optimized Mn2WAu structure.

Cell lengths 8.765, 8.765, 8.765 Å; angles 18.90, 18.90, 18.90 degrees
Atoms (fractional coordinates):
Mn: 0.996 0.996 0.996
Mn: 0.504 0.504 0.504
W: 0.250 0.250 0.250
Au: 0.750 0.750 0.750

Properties
symmetry = No. 166
ρ = 13.202 g cm⁻³
crystal system = trigonal
relative energy among the computed polymorphs = 159 meV/atom

=====

(6)
The following is a DFT calculation (PBE-GGA) of a geometry-optimized Mn2WAu structure.

Cell lengths 4.594, 4.594, 4.594 Å; angles 128.13, 128.13, 76.42 degrees
Atoms (fractional coordinates):
Mn: 0.000 0.000 0.000
Mn: 0.500 0.500 0.000
W: 0.250 0.750 0.500
Au: 0.750 0.250 0.500

Properties
symmetry = No. 139
ρ = 13.981 g cm⁻³
crystal system = tetragonal
relative energy among the computed polymorphs = 68 meV/atom

=====

(7)
The following is a DFT calculation (PBE-GGA) of a geometry-optimized Mn3WAu structure.

Cell lengths 4.597, 4.597, 4.597 Å; angles 90.00, 90.00, 90.00 degrees
Atoms (fractional coordinates):
W: 0.000 0.000 0.000
Mn: 0.000 0.000 0.500
Mn: 0.000 0.500 0.000
Mn: 0.500 0.000 0.000
Au: 0.500 0.500 0.500

Properties
symmetry = No. 221
ρ = 9.324 g cm⁻³
crystal system = cubic
relative energy among the computed polymorphs = 0 meV/atom

=====

(8)
The following is a DFT calculation (PBE-GGA) of a geometry-optimized Mn2WAu structure.

Cell lengths 4.593, 4.593, 5.061 Å; angles 82.04, 82.04, 35.12 degrees
Atoms (fractional coordinates):
W: 0.250 0.250 0.250
Mn: 0.500 0.500 0.483
Mn: 0.000 0.000 0.017
Au: 0.750 0.750 0.750

Properties
symmetry = No. 12
ρ = 13.407 g cm⁻³
crystal system = monoclinic
relative energy among the computed polymorphs = 150 meV/atom

=====

What is the formula in the first record?
Mn2WAu

=====

Copy entry 6 word for word.
The following is a DFT calculation (PBE-GGA) of a geometry-optimized Mn2WAu structure.

Cell lengths 4.594, 4.594, 4.594 Å; angles 128.13, 128.13, 76.42 degrees
Atoms (fractional coordinates):
Mn: 0.000 0.000 0.000
Mn: 0.500 0.500 0.000
W: 0.250 0.750 0.500
Au: 0.750 0.250 0.500

Properties
symmetry = No. 139
ρ = 13.981 g cm⁻³
crystal system = tetragonal
relative energy among the computed polymorphs = 68 meV/atom

=====

What is the relative energy among the computed polymorphs in the second record?
75 meV/atom